*P*
Crystalline ZrHIr at its relaxed geometry. Source: the Alexandria database, functional PBE-GGA.

V: 41.99 Å³/cell
M_tot: 0.00 μB per atom

Unit cell a=3.9588 b=3.9588 c=3.0939 alpha=90.00 beta=90.00 gamma=120.00
Space group P-6m2 (No. 187)
One atom of each set of equivalent atoms:
1 Zr 0.0000 0.0000 0.0000
2 H 0.3333 0.6667 0.5000
3 Ir 0.6667 0.3333 0.5000

---

*Q*
Crystalline ZrHIr at its relaxed geometry. Source: the Alexandria database, functional PBE-GGA.

V: 80.08 Å³/cell
M_tot: 0.00 μB per atom

Unit cell a=3.184 b=3.350 c=7.507 alpha=90.00 beta=90.00 gamma=90.00
Space group Pmmn (No. 59, origin choice 2)
One atom of each set of equivalent atoms:
1 Zr 0.250 0.250 0.184
2 H 0.250 0.750 0.003
3 Ir 0.250 0.250 0.622

---

Stability order, top to bottom: *Q*, *P*

---

*P*
Crystalline Zr3HIr at its relaxed geometry. Source: the Alexandria database, functional PBE-GGA.

V: 708.86 Å³/cell
M_tot: 0.00 μB per atom

Unit cell a=10.813 b=12.128 c=5.506 alpha=90.00 beta=100.97 gamma=90.00
Space group C2/c (No. 15)
One atom of each set of equivalent atoms:
1 Zr 0.096 0.123 0.029
2 Zr 0.123 0.429 0.116
3 Zr 0.129 0.298 0.617
4 H 0.000 0.319 0.250
5 H 0.000 0.432 0.750
6 Ir 0.168 0.087 0.525

---

*Q*
Crystalline Zr3HIr at its relaxed geometry. Source: the Alexandria database, functional PBE-GGA.

V: 82.66 Å³/cell
M_tot: 0.00 μB per atom

Unit cell a=4.356 b=4.356 c=4.356 alpha=90.00 beta=90.00 gamma=90.00
Space group Pm-3m (No. 221)
One atom of each set of equivalent atoms:
1 Zr 0.000 0.000 0.500
2 H 0.000 0.000 0.000
3 Ir 0.500 0.500 0.500

---

Stability order, top to bottom: *P*, *Q*

---

*P*
Crystalline ZrH2Ir at its relaxed geometry. Source: the Alexandria database, functional PBE-GGA.

V: 176.08 Å³/cell
M_tot: 0.00 μB per atom

Unit cell a=3.513 b=16.475 c=3.042 alpha=90.00 beta=90.00 gamma=90.00
Space group Cmcm (No. 63)
One atom of each set of equivalent atoms:
1 Zr 0.000 0.168 0.250
2 H 0.000 0.059 0.750
3 H 0.000 0.253 0.750
4 Ir 0.000 0.429 0.250

---

*Q*
Crystalline ZrH2Ir at its relaxed geometry. Source: the Alexandria database, functional PBE-GGA.

V: 171.17 Å³/cell
M_tot: 0.00 μB per atom

Unit cell a=5.552 b=5.552 c=5.552 alpha=90.00 beta=90.00 gamma=90.00
Space group Fm-3m (No. 225)
One atom of each set of equivalent atoms:
1 Zr 0.000 0.000 0.000
2 H 0.250 0.250 0.250
3 Ir 0.000 0.000 0.500

---

Stability order, top to bottom: *P*, *Q*

---

*P*
Crystalline KH3 at its relaxed geometry. Source: the Alexandria database, functional PBE-GGA.

V: 238.14 Å³/cell
M_tot: 0.00 μB per atom

Unit cell a=5.233 b=6.722 c=6.769 alpha=90.00 beta=90.00 gamma=90.00
Space group Cmce (No. 64)
One atom of each set of equivalent atoms:
1 K 0.000 0.000 0.000
2 H 0.000 0.000 0.500
3 H 0.000 0.111 0.392

---

*Q*
Crystalline KH3 at its relaxed geometry. Source: the Alexandria database, functional PBE-GGA.

V: 108.56 Å³/cell
M_tot: 0.00 μB per atom

Unit cell a=3.802 b=3.802 c=7.512 alpha=90.00 beta=90.00 gamma=90.00
Space group I4/mmm (No. 139)
One atom of each set of equivalent atoms:
1 K 0.000 0.000 0.000
2 H 0.000 0.000 0.361
3 H 0.000 0.000 0.500

---

Stability order, top to bottom: *P*, *Q*

---

*P*
Crystalline K3H at its relaxed geometry. Source: the Alexandria database, functional PBE-GGA.

V: 180.06 Å³/cell
M_tot: 0.00 μB per atom

Unit cell a=3.863 b=4.088 c=11.400 alpha=90.00 beta=90.00 gamma=90.00
Space group Pmm2 (No. 25)
One atom of each set of equivalent atoms:
1 K 0.000 0.000 0.000
2 K 0.000 0.500 0.294
3 K 0.500 0.500 0.665
4 H 0.500 0.000 0.196

---

*Q*
Crystalline K3H at its relaxed geometry. Source: the Alexandria database, functional PBE-GGA.

V: 360.86 Å³/cell
M_tot: 0.00 μB per atom

Unit cell a=3.838 b=12.643 c=7.436 alpha=90.00 beta=90.00 gamma=90.00
Space group Imm2 (No. 44)
One atom of each set of equivalent atoms:
1 K 0.000 0.000 0.000
2 K 0.000 0.151 0.442
3 H 0.000 0.500 0.793

---

Stability order, top to bottom: *Q*, *P*

---

*P*
Crystalline KLa3H at its relaxed geometry. Source: the Alexandria database, functional PBE-GGA.

V: 158.64 Å³/cell
M_tot: 0.00 μB per atom

Unit cell a=5.413 b=5.413 c=5.413 alpha=90.00 beta=90.00 gamma=90.00
Space group Pm-3m (No. 221)
One atom of each set of equivalent atoms:
1 K 0.000 0.000 0.000
2 La 0.000 0.500 0.500
3 H 0.500 0.500 0.500

---

*Q*
Crystalline KLa3H at its relaxed geometry. Source: the Alexandria database, functional PBE-GGA.

V: 195.76 Å³/cell
M_tot: 0.00 μB per atom

Unit cell a=5.806 b=5.806 c=5.806 alpha=90.00 beta=90.00 gamma=90.00
Space group Pm-3m (No. 221)
One atom of each set of equivalent atoms:
1 K 0.000 0.000 0.000
2 La 0.000 0.000 0.500
3 H 0.500 0.500 0.500

---

Stability order, top to bottom: *P*, *Q*